Compound: AcHoPa2O8
Source: Alexandria via LeMat-Bulk
Functional: PBE
Structure: relaxed

Values from the calculation:
- DFT total energy: -9.255 eV per atom
- Density: 9733 kg/m3
- N(E_F): 0.0 states/eV per cell

Cell and atoms, written as CIF:
```
data_AcHoPa2O8
_chemical_formula_sum 'Ac2 Ho2 Pa4 O16'
_symmetry_space_group_name_H-M 'I -4 m 2'
_symmetry_Int_Tables_number 119
_symmetry_space_group_name_Hall 'I -4 -2'
_cell_length_a 5.5405
_cell_length_b 5.5405
_cell_length_c 10.9159
_cell_angle_alpha 90.00
_cell_angle_beta 90.00
_cell_angle_gamma 90.00
loop_
_atom_site_label
_atom_site_fract_x
_atom_site_fract_y
_atom_site_fract_z
_atom_site_occupancy
Ac1 0.0000 0.0000 0.0000 1
Ho1 0.0000 0.5000 0.7500 1
Pa1 0.0000 0.0000 0.5000 1
Pa2 0.0000 0.5000 0.2500 1
O1 0.2295 0.2417 0.3707 1
```



Compound: Ac2HoPbO6
Source: Alexandria via LeMat-Bulk
Functional: PBE
Structure: relaxed

Values from the calculation:
- DFT total energy: -7.386 eV per atom
- Density: 9108 kg/m3
- N(E_F): 9.1 states/eV per cell

Cell and atoms, written as CIF:
```
data_Ac2HoPbO6
_chemical_formula_sum 'Ac4 Ho2 Pb2 O12'
_symmetry_space_group_name_H-M 'P 1 21/c 1'
_symmetry_Int_Tables_number 14
_cell_length_a 6.0619
_cell_length_b 6.3099
_cell_length_c 10.6534
_cell_angle_alpha 90.00
_cell_angle_beta 124.40
_cell_angle_gamma 90.00
loop_
_symmetry_equiv_pos_as_xyz
'x,y,z'
'-x,-y,-z'
'-x,y+1/2,-z+1/2'
'x,-y+1/2,z+1/2'
loop_
_atom_site_label
_atom_site_fract_x
_atom_site_fract_y
_atom_site_fract_z
_atom_site_occupancy
Ac1 0.2305 0.0546 0.2478 1
Ho1 0.5000 0.0000 0.0000 1
Pb1 0.0000 0.0000 0.5000 1
O1 0.1383 0.1895 0.9363 1
O2 0.2379 0.7071 0.9269 1
O3 0.3877 0.0600 0.7597 1
```



Compound: Ac2HoPd2O6
Source: Alexandria via LeMat-Bulk
Functional: PBE
Structure: relaxed

Values from the calculation:
- DFT total energy: -6.792 eV per atom
- Density: 8271 kg/m3
- N(E_F): 17.6 states/eV per cell

Cell and atoms, written as CIF:
```
data_Ac2HoPd2O6
_chemical_formula_sum 'Ac6 Ho3 Pd6 O18'
_symmetry_space_group_name_H-M 'R -3 m'
_symmetry_Int_Tables_number 166
_symmetry_space_group_name_Hall '-R 3 2"'
_cell_length_a 6.2121
_cell_length_b 6.2121
_cell_length_c 16.7197
_cell_angle_alpha 90.00
_cell_angle_beta 90.00
_cell_angle_gamma 120.00
loop_
_atom_site_label
_atom_site_fract_x
_atom_site_fract_y
_atom_site_fract_z
_atom_site_occupancy
Ac1 0.0000 0.0000 0.2102 1
Ho1 0.0000 0.0000 0.0000 1
Pd1 0.0000 0.0000 0.4091 1
O1 0.0430 0.5215 0.7630 1
```